The following is a DFT calculation (GGA-PBE) of an optimized crystal structure of NbCd2ReAg.

For the uncorrected energy, the calculation gives -3.228 eV/atom. The calculation puts the energy of formation at 11.1 eV per formula unit. The total magnetization is 2.10 μB per cell.

The structure belongs to space group P4/mmm (No. 123); the cell edges are 5.3339, 5.3339 and 5.1243 Å and the angles 90.00°, 90.00° and 90.00°. Symmetry generates all atoms from Nb at (0.0000, 0.0000, 0.0000), Cd at (0.0000, 0.5000, 0.0000), Re at (0.5000, 0.5000, 0.5000) and Ag at (0.0000, 0.0000, 0.5000).